This record from the Alexandria database describes YP2WO after structural relaxation. The functional is GGA+U.

Results
Excess energy over the best structure of this formula in the dataset   0.000 eV per atom
SG   P4/mmm, No. 123

abc: 4.9659 4.9659 3.8361
angles: 90.00 90.00 90.00
Site moments in Bohr magnetons follow the coordinates.
Element x y z (fractional)
P  0.0000  0.5000  0.0000  0.00
P  0.5000  0.0000  0.0000  0.00
W  0.0000  0.0000  0.0000  0.92
O  0.0000  0.0000  0.5000  -0.05
Y  0.5000  0.5000  0.5000  0.06